[1]
# BaY2ZrGe, relaxed, DFT PBE
data_BaY2ZrGe
_cell_length_a 5.632
_cell_length_b 5.632
_cell_length_c 5.323
_cell_angle_alpha 90.00
_cell_angle_beta 90.00
_cell_angle_gamma 90.00
_space_group_name_H-M_alt 'P 1'
_space_group_IT_number 1
_space_group_name_Hall 'P 1'
loop_
_atom_site_label
_atom_site_fract_x
_atom_site_fract_y
_atom_site_fract_z
Ba1 0.000 0.000 0.000
Y1 0.000 0.500 0.500
Y2 0.500 0.000 0.500
Zr1 0.500 0.500 0.000
Ge1 0.500 0.500 0.500
# DFT formation energy = 61 meV/atom
# N(E_F) = 9.8 states/eV/f.u.
# total magnetic moment = 0.662 μB/f.u.



[2]
# Y2TaAs, relaxed, DFT PBE
data_Y2TaAs
_cell_length_a 5.563
_cell_length_b 5.563
_cell_length_c 5.563
_cell_angle_alpha 133.11
_cell_angle_beta 133.11
_cell_angle_gamma 68.48
_space_group_name_H-M_alt 'P 1'
_space_group_IT_number 1
_space_group_name_Hall 'P 1'
loop_
_atom_site_label
_atom_site_fract_x
_atom_site_fract_y
_atom_site_fract_z
Y1 0.250 0.750 0.500
Y2 0.750 0.250 0.500
Ta1 0.000 0.000 0.000
As1 0.500 0.500 0.000
# DFT formation energy = 39 meV/atom
# N(E_F) = 5.9 states/eV/f.u.
# total magnetic moment = 0.000 μB/f.u.



[3]
# PuTeC, relaxed, DFT PBE
data_PuTeC
_cell_length_a 3.973
_cell_length_b 3.973
_cell_length_c 11.880
_cell_angle_alpha 99.76
_cell_angle_beta 99.76
_cell_angle_gamma 43.21
_space_group_name_H-M_alt 'P 1'
_space_group_IT_number 1
_space_group_name_Hall 'P 1'
loop_
_atom_site_label
_atom_site_fract_x
_atom_site_fract_y
_atom_site_fract_z
Pu1 0.032 0.032 0.135
Pu2 0.968 0.968 0.865
Te1 0.189 0.189 0.665
Te2 0.811 0.811 0.335
C1 0.292 0.292 0.014
C2 0.708 0.708 0.986
# formation energy (no corrections) = -0.1035 eV per atom
# N(E_F) = 4.7 states/eV/f.u.
# total magnetic moment = 4.850 μB/f.u.



[4]
# Zn2SiW, relaxed, DFT PBE
data_Zn2SiW
_cell_length_a 4.351
_cell_length_b 4.351
_cell_length_c 4.351
_cell_angle_alpha 60.00
_cell_angle_beta 60.00
_cell_angle_gamma 60.00
_space_group_name_H-M_alt 'P 1'
_space_group_IT_number 1
_space_group_name_Hall 'P 1'
loop_
_atom_site_label
_atom_site_fract_x
_atom_site_fract_y
_atom_site_fract_z
Zn1 0.000 0.000 0.000
Zn2 0.250 0.250 0.250
Si1 0.750 0.750 0.750
W1 0.500 0.500 0.500
# formation energy (no corrections) = 0.4511 eV per atom
# N(E_F) = 0.6 states/eV/f.u.
# total magnetic moment = 0.000 μB/f.u.



[5]
# Cs3Au2I4, relaxed, DFT PBE
data_Cs3Au2I4
_cell_length_a 10.868
_cell_length_b 10.868
_cell_length_c 8.724
_cell_angle_alpha 106.50
_cell_angle_beta 106.50
_cell_angle_gamma 60.58
_space_group_name_H-M_alt 'P 1'
_space_group_IT_number 1
_space_group_name_Hall 'P 1'
loop_
_atom_site_label
_atom_site_fract_x
_atom_site_fract_y
_atom_site_fract_z
Cs1 0.000 0.000 0.250
Cs2 0.000 0.000 0.750
Cs3 0.251 0.445 0.985
Cs4 0.445 0.251 0.485
Cs5 0.555 0.749 0.515
Cs6 0.749 0.555 0.015
Au1 0.036 0.611 0.560
Au2 0.389 0.964 0.940
Au3 0.611 0.036 0.060
Au4 0.964 0.389 0.440
I1 0.111 0.258 0.170
I2 0.228 0.651 0.451
I3 0.258 0.111 0.670
I4 0.349 0.772 0.049
I5 0.651 0.228 0.951
I6 0.742 0.889 0.330
I7 0.772 0.349 0.549
I8 0.889 0.742 0.830
# formation energy (no corrections) = -0.8648 eV per atom
# N(E_F) = 5.0 states/eV/f.u.
# total magnetic moment = 0.000 μB/f.u.



[6]
# MgCrRe2, relaxed, DFT PBE
data_MgCrRe2
_cell_length_a 5.686
_cell_length_b 5.686
_cell_length_c 5.686
_cell_angle_alpha 101.81
_cell_angle_beta 101.81
_cell_angle_gamma 126.21
_space_group_name_H-M_alt 'P 1'
_space_group_IT_number 1
_space_group_name_Hall 'P 1'
loop_
_atom_site_label
_atom_site_fract_x
_atom_site_fract_y
_atom_site_fract_z
Mg1 0.000 0.000 0.000
Mg2 0.750 0.250 0.500
Cr1 0.250 0.750 0.500
Cr2 0.500 0.500 0.000
Re1 0.186 0.625 0.061
Re2 0.375 0.436 0.561
Re3 0.564 0.125 0.939
Re4 0.875 0.814 0.439
# DFT formation energy = 762 meV/atom
# N(E_F) = 1.6 states/eV/f.u.
# total magnetic moment = 0.000 μB/f.u.



[7]
# Nd4Cd2InRh, relaxed, DFT PBE
data_Nd4Cd2InRh
_cell_length_a 9.144
_cell_length_b 9.144
_cell_length_c 9.144
_cell_angle_alpha 34.20
_cell_angle_beta 34.20
_cell_angle_gamma 34.20
_space_group_name_H-M_alt 'P 1'
_space_group_IT_number 1
_space_group_name_Hall 'P 1'
loop_
_atom_site_label
_atom_site_fract_x
_atom_site_fract_y
_atom_site_fract_z
Nd1 0.114 0.114 0.114
Nd2 0.368 0.368 0.368
Nd3 0.632 0.632 0.632
Nd4 0.886 0.886 0.886
Cd1 0.241 0.241 0.241
Cd2 0.759 0.759 0.759
In1 0.500 0.500 0.500
Rh1 0.000 0.000 0.000
# DFT formation energy = -439 meV/atom
# N(E_F) = 6.3 states/eV/f.u.
# total magnetic moment = 0.000 μB/f.u.



[8]
# NaNpTlS3, relaxed, DFT PBE
data_NaNpTlS3
_cell_length_a 7.792
_cell_length_b 4.036
_cell_length_c 9.790
_cell_angle_alpha 90.00
_cell_angle_beta 94.00
_cell_angle_gamma 90.00
_space_group_name_H-M_alt 'P 1'
_space_group_IT_number 1
_space_group_name_Hall 'P 1'
loop_
_atom_site_label
_atom_site_fract_x
_atom_site_fract_y
_atom_site_fract_z
Na1 0.247 0.250 0.490
Na2 0.753 0.750 0.510
Np1 0.426 0.750 0.820
Np2 0.574 0.250 0.180
Tl1 0.051 0.750 0.166
Tl2 0.949 0.250 0.834
S1 0.135 0.750 0.670
S2 0.316 0.250 0.979
S3 0.434 0.750 0.317
S4 0.566 0.250 0.683
S5 0.684 0.750 0.021
S6 0.865 0.250 0.330
# formation energy (no corrections) = -1.0655 eV per atom
# N(E_F) = 7.4 states/eV/f.u.
# total magnetic moment = 3.000 μB/f.u.



[9]
# BiRh, relaxed, DFT PBE
data_BiRh
_cell_length_a 4.310
_cell_length_b 4.310
_cell_length_c 4.310
_cell_angle_alpha 60.00
_cell_angle_beta 60.00
_cell_angle_gamma 60.00
_space_group_name_H-M_alt 'P 1'
_space_group_IT_number 1
_space_group_name_Hall 'P 1'
loop_
_atom_site_label
_atom_site_fract_x
_atom_site_fract_y
_atom_site_fract_z
Bi1 0.000 0.000 0.000
Rh1 0.250 0.250 0.250
# DFT formation energy = 275 meV/atom
# N(E_F) = 1.0 states/eV/f.u.
# total magnetic moment = 0.000 μB/f.u.



[10]
# CrRh2, relaxed, DFT PBE
data_CrRh2
_cell_length_a 11.602
_cell_length_b 11.602
_cell_length_c 11.602
_cell_angle_alpha 166.65
_cell_angle_beta 166.65
_cell_angle_gamma 18.93
_space_group_name_H-M_alt 'P 1'
_space_group_IT_number 1
_space_group_name_Hall 'P 1'
loop_
_atom_site_label
_atom_site_fract_x
_atom_site_fract_y
_atom_site_fract_z
Cr1 0.375 0.625 0.750
Cr2 0.625 0.375 0.250
Rh1 0.051 0.801 0.250
Rh2 0.199 0.949 0.250
Rh3 0.801 0.051 0.750
Rh4 0.949 0.199 0.750
# DFT formation energy = 22 meV/atom
# N(E_F) = 3.8 states/eV/f.u.
# total magnetic moment = 0.000 μB/f.u.



[11]
# BaAgHg3, relaxed, DFT PBE
data_BaAgHg3
_cell_length_a 7.416
_cell_length_b 7.416
_cell_length_c 6.065
_cell_angle_alpha 90.00
_cell_angle_beta 90.00
_cell_angle_gamma 120.00
_space_group_name_H-M_alt 'P 1'
_space_group_IT_number 1
_space_group_name_Hall 'P 1'
loop_
_atom_site_label
_atom_site_fract_x
_atom_site_fract_y
_atom_site_fract_z
Ba1 0.333 0.667 0.250
Ba2 0.667 0.333 0.750
Ag1 0.000 0.000 0.000
Ag2 0.000 0.000 0.500
Hg1 0.192 0.385 0.750
Hg2 0.192 0.808 0.750
Hg3 0.385 0.192 0.250
Hg4 0.615 0.808 0.750
Hg5 0.808 0.192 0.250
Hg6 0.808 0.615 0.250
# energy relative to the lowest polymorph listed for this composition = 8 meV per atom
# DFT formation energy = -286 meV/atom
# N(E_F) = 3.0 states/eV/f.u.
# total magnetic moment = 0.000 μB/f.u.



[12]
# Zn3CrNi4, relaxed, DFT PBE
data_Zn3CrNi4
_cell_length_a 2.608
_cell_length_b 2.608
_cell_length_c 13.939
_cell_angle_alpha 90.00
_cell_angle_beta 90.00
_cell_angle_gamma 90.00
_space_group_name_H-M_alt 'P 1'
_space_group_IT_number 1
_space_group_name_Hall 'P 1'
loop_
_atom_site_label
_atom_site_fract_x
_atom_site_fract_y
_atom_site_fract_z
Zn1 0.000 0.000 0.000
Zn2 0.000 0.000 0.250
Zn3 0.000 0.000 0.750
Cr1 0.000 0.000 0.500
Ni1 0.500 0.500 0.125
Ni2 0.500 0.500 0.379
Ni3 0.500 0.500 0.621
Ni4 0.500 0.500 0.875
# DFT formation energy = -155 meV/atom
# N(E_F) = 5.9 states/eV/f.u.
# total magnetic moment = 0.582 μB/f.u.